[1]
{"formula": "Pm5NdDy2Tm", "functional": "PBE-GGA", "state": "relaxed", "formation_enthalpy_0k_ev_per_atom": 0.148, "cell": [[5.687, 0.000, 0.000], [-2.843, 10.111, 0.000], [0.000, 0.000, 10.643]], "species": ["Pm", "Pm", "Pm", "Pm", "Pm", "Pm", "Pm", "Pm", "Pm", "Pm", "Nd", "Nd", "Dy", "Dy", "Dy", "Dy", "Tm", "Tm"], "frac_coords": [[0.385, 0.770, 0.022], [0.720, 0.440, 0.815], [0.481, 0.961, 0.741], [0.297, 0.595, 0.707], [0.983, 0.965, 0.520], [0.615, 0.230, 0.522], [0.280, 0.560, 0.315], [0.519, 0.039, 0.241], [0.703, 0.405, 0.207], [0.017, 0.035, 0.020], [0.588, 0.175, 0.956], [0.412, 0.825, 0.456], [0.885, 0.769, 0.817], [0.113, 0.227, 0.735], [0.115, 0.231, 0.317], [0.887, 0.773, 0.235], [0.801, 0.602, 0.512], [0.199, 0.398, 0.012]]}



[2]
{"formula": "Pm2Nd2Dy4Tm", "functional": "PBE-GGA", "state": "relaxed", "formation_enthalpy_0k_ev_per_atom": 0.006, "cell": [[3.623, 0.000, 0.000], [-1.812, 9.387, -0.496], [0.000, -3.718, 8.890]], "species": ["Pm", "Pm", "Nd", "Nd", "Dy", "Dy", "Dy", "Dy", "Tm"], "frac_coords": [[0.853, 0.706, 0.337], [0.147, 0.294, 0.663], [0.335, 0.670, 0.999], [0.665, 0.330, 0.001], [0.815, 0.631, 0.665], [0.185, 0.369, 0.335], [0.519, 0.038, 0.331], [0.481, 0.962, 0.669], [0.000, 0.000, 0.000]]}



[3]
{"formula": "Pm5Nd2DyTm", "functional": "PBE-GGA", "state": "relaxed", "formation_enthalpy_0k_ev_per_atom": 0.276, "cell": [[-3.654, 7.404, 2.447], [-4.139, -4.132, 6.321], [10.268, -0.184, 0.736]], "species": ["Pm", "Pm", "Pm", "Pm", "Pm", "Pm", "Pm", "Pm", "Pm", "Pm", "Nd", "Nd", "Nd", "Nd", "Dy", "Dy", "Tm", "Tm"], "frac_coords": [[0.926, 0.426, 0.286], [0.640, 0.140, 0.714], [0.074, 0.574, 0.714], [0.140, 0.074, 0.714], [0.574, 0.640, 0.714], [0.860, 0.926, 0.286], [0.426, 0.360, 0.286], [0.360, 0.860, 0.286], [0.500, 0.500, 0.000], [0.000, 0.000, 0.000], [0.121, 0.379, 0.000], [0.621, 0.121, 0.000], [0.379, 0.879, 0.000], [0.879, 0.621, 0.000], [0.250, 0.250, 0.500], [0.750, 0.750, 0.500], [0.250, 0.750, 0.500], [0.750, 0.250, 0.500]]}



[4]
{"formula": "PmNd2DyTm", "functional": "PBE-GGA", "state": "relaxed", "formation_enthalpy_0k_ev_per_atom": 0.274, "cell": [[6.735, 0.000, 0.000], [0.000, 8.116, 1.409], [0.000, -1.080, 6.091]], "species": ["Pm", "Pm", "Nd", "Nd", "Nd", "Nd", "Dy", "Dy", "Tm", "Tm"], "frac_coords": [[0.000, 0.000, 0.000], [0.000, 0.000, 0.500], [0.692, 0.694, 0.751], [0.692, 0.306, 0.749], [0.308, 0.694, 0.251], [0.308, 0.306, 0.249], [0.578, 0.000, 0.250], [0.422, 0.000, 0.750], [0.156, 0.500, 0.750], [0.844, 0.500, 0.250]]}



[5]
{"formula": "Pm4Nd2DyTm", "functional": "PBE-GGA", "state": "relaxed", "formation_enthalpy_0k_ev_per_atom": 0.389, "cell": [[9.434, 0.004, -1.690], [-0.003, 9.434, -1.690], [-6.042, -6.046, 8.337]], "species": ["Pm", "Pm", "Pm", "Pm", "Pm", "Pm", "Pm", "Pm", "Nd", "Nd", "Nd", "Nd", "Dy", "Dy", "Tm", "Tm"], "frac_coords": [[0.244, 0.756, 0.997], [0.744, 0.256, 0.503], [0.256, 0.744, 0.497], [0.756, 0.244, 0.003], [0.723, 0.720, 0.968], [0.780, 0.777, 0.532], [0.220, 0.223, 0.468], [0.277, 0.280, 0.032], [0.500, 0.000, 0.000], [0.500, 0.000, 0.500], [0.000, 0.000, 0.500], [0.500, 0.500, 0.000], [0.000, 0.500, 0.000], [0.000, 0.500, 0.500], [0.500, 0.500, 0.500], [0.000, 0.000, 0.000]]}



[6]
{"formula": "PmNd6Dy2Tm3", "functional": "PBE-GGA", "state": "relaxed", "formation_enthalpy_0k_ev_per_atom": 0.014, "cell": [[-2.161, -0.607, -5.850], [-1.286, -4.386, 4.286], [-8.542, 7.415, 3.502]], "species": ["Pm", "Nd", "Nd", "Nd", "Nd", "Nd", "Nd", "Dy", "Dy", "Tm", "Tm", "Tm"], "frac_coords": [[0.000, 0.000, 0.000], [0.915, 0.582, 0.747], [0.751, 0.751, 0.253], [0.085, 0.418, 0.253], [0.582, 0.915, 0.747], [0.249, 0.249, 0.747], [0.418, 0.085, 0.253], [0.333, 0.667, 0.000], [0.667, 0.333, 0.000], [0.167, 0.833, 0.500], [0.833, 0.167, 0.500], [0.500, 0.500, 0.500]]}



[7]
{"formula": "PmNdDy4Tm2", "functional": "PBE-GGA", "state": "relaxed", "formation_enthalpy_0k_ev_per_atom": 0.429, "cell": [[-1.818, 8.779, -3.120], [-9.224, -1.999, -1.013], [7.301, -3.331, 8.630]], "species": ["Pm", "Pm", "Nd", "Nd", "Dy", "Dy", "Dy", "Dy", "Dy", "Dy", "Dy", "Dy", "Tm", "Tm", "Tm", "Tm"], "frac_coords": [[0.500, 0.500, 0.500], [0.000, 0.000, 0.000], [0.000, 0.500, 0.000], [0.000, 0.500, 0.500], [0.256, 0.748, 0.002], [0.752, 0.244, 0.498], [0.248, 0.756, 0.502], [0.744, 0.252, 0.998], [0.747, 0.753, 0.004], [0.747, 0.753, 0.496], [0.253, 0.247, 0.504], [0.253, 0.247, 0.996], [0.500, 0.000, 0.000], [0.500, 0.000, 0.500], [0.000, 0.000, 0.500], [0.500, 0.500, 0.000]]}



[8]
{"formula": "Pm6Nd2DyTm", "functional": "PBE-GGA", "state": "relaxed", "formation_enthalpy_0k_ev_per_atom": 0.115, "cell": [[9.318, -2.077, -2.156], [0.757, 8.669, -2.058], [0.757, -2.377, 8.587]], "species": ["Pm", "Pm", "Pm", "Pm", "Pm", "Pm", "Pm", "Pm", "Pm", "Pm", "Pm", "Pm", "Nd", "Nd", "Nd", "Nd", "Dy", "Dy", "Tm", "Tm"], "frac_coords": [[0.055, 0.124, 0.753], [0.445, 0.247, 0.876], [0.945, 0.876, 0.247], [0.555, 0.753, 0.124], [0.310, 0.984, 0.427], [0.190, 0.573, 0.016], [0.690, 0.016, 0.573], [0.810, 0.427, 0.984], [0.119, 0.709, 0.498], [0.381, 0.502, 0.291], [0.881, 0.291, 0.502], [0.619, 0.498, 0.709], [0.457, 0.803, 0.701], [0.043, 0.299, 0.197], [0.543, 0.197, 0.299], [0.957, 0.701, 0.803], [0.250, 0.980, 0.020], [0.750, 0.020, 0.980], [0.250, 0.409, 0.591], [0.750, 0.591, 0.409]]}



[9]
{"formula": "Pm2Nd6DyTm", "functional": "PBE-GGA", "state": "relaxed", "formation_enthalpy_0k_ev_per_atom": 0.114, "cell": [[9.313, -2.067, -2.145], [0.779, 8.714, -2.069], [0.779, -2.390, 8.631]], "species": ["Pm", "Pm", "Pm", "Pm", "Nd", "Nd", "Nd", "Nd", "Nd", "Nd", "Nd", "Nd", "Nd", "Nd", "Nd", "Nd", "Dy", "Dy", "Tm", "Tm"], "frac_coords": [[0.457, 0.802, 0.702], [0.043, 0.298, 0.198], [0.543, 0.198, 0.298], [0.957, 0.702, 0.802], [0.054, 0.122, 0.757], [0.446, 0.243, 0.878], [0.946, 0.878, 0.243], [0.554, 0.757, 0.122], [0.310, 0.987, 0.429], [0.190, 0.571, 0.013], [0.690, 0.013, 0.571], [0.810, 0.429, 0.987], [0.118, 0.709, 0.497], [0.382, 0.503, 0.291], [0.882, 0.291, 0.503], [0.618, 0.497, 0.709], [0.250, 0.978, 0.022], [0.750, 0.022, 0.978], [0.250, 0.410, 0.590], [0.750, 0.590, 0.410]]}



[10]
{"formula": "PmNd2Dy5Tm", "functional": "PBE-GGA", "state": "relaxed", "formation_enthalpy_0k_ev_per_atom": 0.272, "cell": [[-0.025, -8.586, -1.410], [3.130, -1.324, 8.010], [-8.827, 4.521, -0.529]], "species": ["Pm", "Pm", "Nd", "Nd", "Nd", "Nd", "Dy", "Dy", "Dy", "Dy", "Dy", "Dy", "Dy", "Dy", "Dy", "Dy", "Tm", "Tm"], "frac_coords": [[0.250, 0.250, 0.500], [0.750, 0.750, 0.500], [0.117, 0.383, 0.000], [0.617, 0.117, 0.000], [0.383, 0.883, 0.000], [0.883, 0.617, 0.000], [0.928, 0.428, 0.278], [0.650, 0.150, 0.722], [0.072, 0.572, 0.722], [0.150, 0.072, 0.722], [0.572, 0.650, 0.722], [0.850, 0.928, 0.278], [0.428, 0.350, 0.278], [0.350, 0.850, 0.278], [0.500, 0.500, 0.000], [0.000, 0.000, 0.000], [0.250, 0.750, 0.500], [0.750, 0.250, 0.500]]}



[11]
{"formula": "Pm2NdDyTm", "functional": "PBE-GGA", "state": "relaxed", "formation_enthalpy_0k_ev_per_atom": 0.397, "cell": [[-5.653, 0.106, 4.554], [2.258, -7.557, 2.979], [2.165, 6.351, 2.539]], "species": ["Pm", "Pm", "Pm", "Pm", "Nd", "Nd", "Dy", "Dy", "Tm", "Tm"], "frac_coords": [[0.500, 0.308, 0.000], [0.000, 0.692, 0.000], [0.500, 0.692, 0.000], [0.000, 0.308, 0.000], [0.250, 0.726, 0.452], [0.750, 0.274, 0.548], [0.250, 0.992, 0.985], [0.750, 0.008, 0.015], [0.750, 0.730, 0.460], [0.250, 0.270, 0.540]]}



[12]
{"formula": "PmNd5DyTm2", "functional": "PBE-GGA", "state": "relaxed", "formation_enthalpy_0k_ev_per_atom": 0.147, "cell": [[5.655, 0.000, 0.000], [-2.827, 10.204, 0.000], [0.000, 0.000, 10.744]], "species": ["Pm", "Pm", "Nd", "Nd", "Nd", "Nd", "Nd", "Nd", "Nd", "Nd", "Nd", "Nd", "Dy", "Dy", "Tm", "Tm", "Tm", "Tm"], "frac_coords": [[0.800, 0.599, 0.510], [0.200, 0.401, 0.010], [0.390, 0.779, 0.025], [0.719, 0.438, 0.810], [0.480, 0.960, 0.743], [0.297, 0.593, 0.704], [0.984, 0.968, 0.521], [0.610, 0.221, 0.525], [0.281, 0.562, 0.310], [0.520, 0.040, 0.243], [0.703, 0.407, 0.204], [0.016, 0.032, 0.021], [0.590, 0.179, 0.958], [0.410, 0.821, 0.458], [0.884, 0.768, 0.815], [0.111, 0.221, 0.740], [0.116, 0.232, 0.315], [0.889, 0.779, 0.240]]}